[1]
# PBE Ba2AsHPt6, optimized geometry
# DFT total energy in eV per cell: -52.59
# Total magnetization in μB/cell: 0.00
# SG: No. 2
data_Ba2AsHPt6
_chemical_formula_sum 'Ba2 As1 H1 Pt6'
_cell_length_a 5.949
_cell_length_b 6.969
_cell_length_c 6.901
_cell_angle_alpha 51.10
_cell_angle_beta 65.13
_cell_angle_gamma 85.99
_space_group_name_H-M_alt 'P 1'
_space_group_IT_number 1
_space_group_name_Hall 'P 1'
loop_
_atom_site_label
_atom_site_type_symbol
_atom_site_fract_x
_atom_site_fract_y
_atom_site_fract_z
_atom_site_occupancy
Ba1 Ba 0.789 0.209 0.435 1
Ba2 Ba 0.211 0.791 0.565 1
As1 As 0.500 0.500 0.000 1
H1 H 0.000 0.000 0.000 1
Pt1 Pt 0.246 0.328 0.510 1
Pt2 Pt 0.677 0.755 0.081 1
Pt3 Pt 0.210 0.788 0.055 1
Pt4 Pt 0.790 0.212 0.945 1
Pt5 Pt 0.323 0.245 0.919 1
Pt6 Pt 0.754 0.672 0.490 1

=====

[2]
# PBE Pd3RuAu, optimized geometry
# Formation energy in eV/atom: 1.220
# Energy relative to the lowest polymorph listed for this composition in meV per atom: 0.0
# Total magnetization in μB/cell: 1.55
# SG: No. 221
data_Pd3RuAu
_chemical_formula_sum 'Pd3 Ru1 Au1'
_cell_length_a 4.757
_cell_length_b 4.757
_cell_length_c 4.757
_cell_angle_alpha 90.00
_cell_angle_beta 90.00
_cell_angle_gamma 90.00
_space_group_name_H-M_alt 'P 1'
_space_group_IT_number 1
_space_group_name_Hall 'P 1'
loop_
_atom_site_label
_atom_site_type_symbol
_atom_site_fract_x
_atom_site_fract_y
_atom_site_fract_z
_atom_site_occupancy
Ru1 Ru 0.000 0.000 0.000 1
Au1 Au 0.500 0.500 0.500 1
Pd1 Pd 0.000 0.500 0.000 1
Pd2 Pd 0.000 0.000 0.500 1
Pd3 Pd 0.500 0.000 0.000 1

=====

[3]
# PBE ZrMn6GaSn5, optimized geometry
# Formation energy in eV/atom: -0.129
# Total magnetization in μB/cell: 12.76
# SG: No. 187
data_ZrMn6GaSn5
_chemical_formula_sum 'Zr1 Mn6 Ga1 Sn5'
_cell_length_a 5.345
_cell_length_b 5.345
_cell_length_c 8.859
_cell_angle_alpha 90.00
_cell_angle_beta 90.00
_cell_angle_gamma 60.00
_space_group_name_H-M_alt 'P 1'
_space_group_IT_number 1
_space_group_name_Hall 'P 1'
loop_
_atom_site_label
_atom_site_type_symbol
_atom_site_fract_x
_atom_site_fract_y
_atom_site_fract_z
_atom_site_occupancy
Zr1 Zr 0.000 0.000 0.500 1
Mn1 Mn 0.497 0.007 0.258 1
Mn2 Mn 0.007 0.497 0.258 1
Mn3 Mn 0.497 0.497 0.258 1
Mn4 Mn 0.497 0.007 0.742 1
Mn5 Mn 0.007 0.497 0.742 1
Mn6 Mn 0.497 0.497 0.742 1
Ga1 Ga 0.333 0.333 0.500 1
Sn1 Sn 0.000 0.000 0.172 1
Sn2 Sn 0.000 0.000 0.828 1
Sn3 Sn 0.667 0.667 0.000 1
Sn4 Sn 0.333 0.333 0.000 1
Sn5 Sn 0.667 0.667 0.500 1

=====

[4]
# PBE Nd6YMg, optimized geometry
# Formation energy in eV/atom: 0.092
# Energy relative to the lowest polymorph listed for this composition in meV per atom: 89.6
# Total magnetization in μB/cell: 0.00
# SG: No. 2
data_Nd6YMg
_chemical_formula_sum 'Nd6 Y1 Mg1'
_cell_length_a 8.652
_cell_length_b 9.731
_cell_length_c 6.516
_cell_angle_alpha 41.62
_cell_angle_beta 48.31
_cell_angle_gamma 55.64
_space_group_name_H-M_alt 'P 1'
_space_group_IT_number 1
_space_group_name_Hall 'P 1'
loop_
_atom_site_label
_atom_site_type_symbol
_atom_site_fract_x
_atom_site_fract_y
_atom_site_fract_z
_atom_site_occupancy
Nd1 Nd 0.945 0.529 0.764 1
Nd2 Nd 0.762 0.945 0.823 1
Nd3 Nd 0.529 0.238 0.288 1
Nd4 Nd 0.238 0.055 0.177 1
Nd5 Nd 0.055 0.471 0.236 1
Nd6 Nd 0.471 0.762 0.712 1
Y1 Y 0.500 0.500 0.500 1
Mg1 Mg 0.000 0.000 0.000 1

=====

[5]
# PBE NaSrAs2O6, optimized geometry
# Energy relative to the elements, uncorrected in kcal/mol of atoms: -39.11
# Total magnetization in μB/cell: 0.00
# SG: No. 15
data_NaSrAs2O6
_chemical_formula_sum 'Na2 Sr2 As4 O12'
_cell_length_a 6.404
_cell_length_b 7.463
_cell_length_c 7.463
_cell_angle_alpha 83.94
_cell_angle_beta 73.40
_cell_angle_gamma 73.40
_space_group_name_H-M_alt 'P 1'
_space_group_IT_number 1
_space_group_name_Hall 'P 1'
loop_
_atom_site_label
_atom_site_type_symbol
_atom_site_fract_x
_atom_site_fract_y
_atom_site_fract_z
_atom_site_occupancy
Na1 Na 0.250 0.282 0.718 1
Na2 Na 0.750 0.718 0.282 1
Sr1 Sr 0.250 0.888 0.112 1
Sr2 Sr 0.750 0.112 0.888 1
As1 As 0.290 0.786 0.626 1
As2 As 0.210 0.374 0.214 1
As3 As 0.710 0.214 0.374 1
As4 As 0.790 0.626 0.786 1
O1 O 0.172 0.962 0.787 1
O2 O 0.328 0.213 0.038 1
O3 O 0.828 0.038 0.213 1
O4 O 0.672 0.787 0.962 1
O5 O 0.355 0.873 0.403 1
O6 O 0.145 0.597 0.127 1
O7 O 0.645 0.127 0.597 1
O8 O 0.855 0.403 0.873 1
O9 O 0.071 0.656 0.646 1
O10 O 0.429 0.354 0.344 1
O11 O 0.929 0.344 0.354 1
O12 O 0.571 0.646 0.656 1

=====

[6]
# PBE BaMnIr, optimized geometry
# Formation energy in eV/atom: 0.269
# Energy relative to the lowest polymorph listed for this composition in meV per atom: 254.8
# Total magnetization in μB/cell: 0.00
# SG: No. 1
data_BaMnIr
_chemical_formula_sum 'Ba2 Mn2 Ir2'
_cell_length_a 3.778
_cell_length_b 4.564
_cell_length_c 10.749
_cell_angle_alpha 100.46
_cell_angle_beta 90.44
_cell_angle_gamma 114.44
_space_group_name_H-M_alt 'P 1'
_space_group_IT_number 1
_space_group_name_Hall 'P 1'
loop_
_atom_site_label
_atom_site_type_symbol
_atom_site_fract_x
_atom_site_fract_y
_atom_site_fract_z
_atom_site_occupancy
Mn1 Mn 0.957 0.210 0.836 1
Mn2 Mn 0.351 0.001 0.734 1
Ba1 Ba 0.681 0.673 0.448 1
Ba2 Ba 0.319 0.922 0.042 1
Ir1 Ir 0.024 0.350 0.629 1
Ir2 Ir 0.665 0.626 0.782 1

=====

[7]
# PBE Ac2Ge3Ir4Pb, optimized geometry
# Formation energy in eV/atom: -0.582
# Total magnetization in μB/cell: 0.00
# SG: No. 115
data_Ac2Ge3Ir4Pb
_chemical_formula_sum 'Ac2 Ge3 Ir4 Pb1'
_cell_length_a 4.372
_cell_length_b 4.372
_cell_length_c 10.953
_cell_angle_alpha 90.00
_cell_angle_beta 90.00
_cell_angle_gamma 90.00
_space_group_name_H-M_alt 'P 1'
_space_group_IT_number 1
_space_group_name_Hall 'P 1'
loop_
_atom_site_label
_atom_site_type_symbol
_atom_site_fract_x
_atom_site_fract_y
_atom_site_fract_z
_atom_site_occupancy
Ac1 Ac 0.500 0.000 0.244 1
Ac2 Ac 0.000 0.500 0.756 1
Ge1 Ge 0.000 0.000 0.500 1
Ge2 Ge 0.500 0.000 0.880 1
Ge3 Ge 0.000 0.500 0.120 1
Ir1 Ir 0.500 0.500 0.000 1
Ir2 Ir 0.000 0.000 0.000 1
Ir3 Ir 0.500 0.000 0.654 1
Ir4 Ir 0.000 0.500 0.346 1
Pb1 Pb 0.500 0.500 0.500 1

=====

[8]
# PBE AcTb3In2, optimized geometry
# Formation energy in eV/atom: -0.239
# Energy relative to the lowest polymorph listed for this composition in meV per atom: 61.7
# Total magnetization in μB/cell: 0.03
# SG: No. 12
data_AcTb3In2
_chemical_formula_sum 'Ac2 Tb6 In4'
_cell_length_a 5.498
_cell_length_b 9.612
_cell_length_c 9.243
_cell_angle_alpha 124.04
_cell_angle_beta 90.00
_cell_angle_gamma 106.62
_space_group_name_H-M_alt 'P 1'
_space_group_IT_number 1
_space_group_name_Hall 'P 1'
loop_
_atom_site_label
_atom_site_type_symbol
_atom_site_fract_x
_atom_site_fract_y
_atom_site_fract_z
_atom_site_occupancy
Ac1 Ac 0.870 0.740 0.916 1
Ac2 Ac 0.130 0.260 0.084 1
Tb1 Tb 0.304 0.608 0.597 1
Tb2 Tb 0.937 0.874 0.588 1
Tb3 Tb 0.615 0.231 0.697 1
Tb4 Tb 0.385 0.769 0.303 1
Tb5 Tb 0.063 0.126 0.412 1
Tb6 Tb 0.696 0.392 0.403 1
In1 In 0.507 0.014 0.851 1
In2 In 0.493 0.986 0.149 1
In3 In 0.775 0.549 0.152 1
In4 In 0.225 0.451 0.848 1

=====

[9]
# PBE SiSb2Ru, optimized geometry
# Energy relative to the elements, uncorrected in kcal/mol of atoms: 13.23
# Total magnetization in μB/cell: 0.00
# SG: No. 216
data_SiSb2Ru
_chemical_formula_sum 'Si1 Sb2 Ru1'
_cell_length_a 4.800
_cell_length_b 4.800
_cell_length_c 4.800
_cell_angle_alpha 60.00
_cell_angle_beta 60.00
_cell_angle_gamma 60.00
_space_group_name_H-M_alt 'P 1'
_space_group_IT_number 1
_space_group_name_Hall 'P 1'
loop_
_atom_site_label
_atom_site_type_symbol
_atom_site_fract_x
_atom_site_fract_y
_atom_site_fract_z
_atom_site_occupancy
Ru1 Ru 0.500 0.500 0.500 1
Sb1 Sb 0.000 0.000 0.000 1
Sb2 Sb 0.250 0.250 0.250 1
Si1 Si 0.750 0.750 0.750 1

=====

[10]
# PBE Rb2BaCuI5, optimized geometry
# Energy relative to the elements, uncorrected in kcal/mol of atoms: -29.42
# Total magnetization in μB/cell: 0.00
# SG: No. 36
data_Rb2BaCuI5
_chemical_formula_sum 'Rb4 Ba2 Cu2 I10'
_cell_length_a 4.819
_cell_length_b 11.226
_cell_length_c 15.636
_cell_angle_alpha 90.00
_cell_angle_beta 90.00
_cell_angle_gamma 102.39
_space_group_name_H-M_alt 'P 1'
_space_group_IT_number 1
_space_group_name_Hall 'P 1'
loop_
_atom_site_label
_atom_site_type_symbol
_atom_site_fract_x
_atom_site_fract_y
_atom_site_fract_z
_atom_site_occupancy
Rb1 Rb 0.887 0.774 0.849 1
Rb2 Rb 0.114 0.229 0.691 1
Rb3 Rb 0.113 0.226 0.349 1
Rb4 Rb 0.886 0.771 0.191 1
Ba1 Ba 0.813 0.625 0.533 1
Ba2 Ba 0.187 0.375 0.033 1
Cu1 Cu 0.559 0.118 0.911 1
Cu2 Cu 0.441 0.882 0.411 1
I1 I 0.343 0.687 0.019 1
I2 I 0.680 0.360 0.874 1
I3 I 0.500 0.000 0.767 1
I4 I 0.301 0.602 0.690 1
I5 I 0.966 0.933 0.491 1
I6 I 0.657 0.313 0.519 1
I7 I 0.320 0.640 0.374 1
I8 I 0.500 0.000 0.267 1
I9 I 0.699 0.398 0.190 1
I10 I 0.034 0.067 0.991 1

=====

[11]
# PBE ZnP2W, optimized geometry
# Formation energy in eV/atom: -0.018
# Total magnetization in μB/cell: 0.00
# SG: No. 123
data_ZnP2W
_chemical_formula_sum 'Zn1 P2 W1'
_cell_length_a 3.149
_cell_length_b 3.149
_cell_length_c 5.951
_cell_angle_alpha 90.00
_cell_angle_beta 90.00
_cell_angle_gamma 90.00
_space_group_name_H-M_alt 'P 1'
_space_group_IT_number 1
_space_group_name_Hall 'P 1'
loop_
_atom_site_label
_atom_site_type_symbol
_atom_site_fract_x
_atom_site_fract_y
_atom_site_fract_z
_atom_site_occupancy
P1 P 0.000 0.000 0.029 1
P2 P 0.000 0.000 0.471 1
W1 W 0.500 0.500 0.250 1
Zn1 Zn 0.500 0.500 0.750 1

=====

[12]
# PBE DyTm2Pt9, optimized geometry
# Formation energy in eV/atom: -1.073
# Total magnetization in μB/cell: 0.00
# SG: No. 123
data_DyTm2Pt9
_chemical_formula_sum 'Dy1 Tm2 Pt9'
_cell_length_a 4.100
_cell_length_b 4.100
_cell_length_c 12.300
_cell_angle_alpha 90.00
_cell_angle_beta 90.00
_cell_angle_gamma 90.00
_space_group_name_H-M_alt 'P 1'
_space_group_IT_number 1
_space_group_name_Hall 'P 1'
loop_
_atom_site_label
_atom_site_type_symbol
_atom_site_fract_x
_atom_site_fract_y
_atom_site_fract_z
_atom_site_occupancy
Dy1 Dy 0.000 0.000 0.000 1
Tm1 Tm 0.000 0.000 0.334 1
Tm2 Tm 0.000 0.000 0.666 1
Pt1 Pt 0.500 0.500 0.000 1
Pt2 Pt 0.500 0.500 0.334 1
Pt3 Pt 0.500 0.500 0.666 1
Pt4 Pt 0.500 0.000 0.169 1
Pt5 Pt 0.500 0.000 0.500 1
Pt6 Pt 0.500 0.000 0.831 1
Pt7 Pt 0.000 0.500 0.169 1
Pt8 Pt 0.000 0.500 0.500 1
Pt9 Pt 0.000 0.500 0.831 1